(1)
{
  "formula": "La7PrAl4",
  "functional": "PBE-GGA",
  "state": "relaxed",
  "lattice": [[-5.453, 1.814, -0.877], [-5.589, -4.373, 6.443], [-1.883, 5.857, 4.554]],
  "species": ["La", "La", "La", "La", "La", "La", "La", "Al", "Al", "Al", "Al", "Pr"],
  "fractional_positions": [[0.301, 0.637, 0.761], [0.796, 0.881, 0.527], [0.933, 0.381, 0.752], [0.204, 0.119, 0.473], [0.500, 0.000, 0.000], [0.699, 0.363, 0.239], [0.067, 0.619, 0.248], [0.676, 0.670, 0.977], [0.449, 0.760, 0.342], [0.324, 0.330, 0.023], [0.551, 0.240, 0.658], [0.000, 0.000, 0.000]],
  "ef_mev_per_atom": -101,
  "total_energy_ev_per_atom": -4.62,
  "crystal_system": "monoclinic"
}

***

(2)
{
  "formula": "Ba2MgGePd6",
  "functional": "PBE-GGA",
  "state": "relaxed",
  "lattice": [[-2.766, -4.113, 4.583], [-1.314, -4.681, -4.936], [2.242, -6.610, 0.478]],
  "species": ["Pd", "Pd", "Pd", "Pd", "Pd", "Pd", "Ba", "Ba", "Mg", "Ge"],
  "fractional_positions": [[0.811, 0.325, 0.055], [0.323, 0.138, 0.487], [0.189, 0.675, 0.945], [0.677, 0.862, 0.513], [0.136, 0.187, 0.189], [0.864, 0.813, 0.811], [0.704, 0.294, 0.591], [0.296, 0.706, 0.409], [0.000, 0.000, 0.000], [0.500, 0.500, 0.000]],
  "ef_mev_per_atom": -539,
  "total_energy_ev_per_atom": -4.66,
  "crystal_system": "triclinic"
}

***

(3)
{
  "formula": "Li2BiHRu",
  "functional": "PBE-GGA",
  "state": "relaxed",
  "lattice": [[-3.010, -2.377, -1.592], [0.339, -2.591, 3.227], [-2.606, 2.027, 1.901]],
  "species": ["Ru", "Li", "Li", "Bi", "H"],
  "fractional_positions": [[0.000, 0.000, 0.500], [0.500, 0.000, 0.000], [0.000, 0.500, 0.000], [0.500, 0.500, 0.500], [0.000, 0.000, 0.000]],
  "total_energy_ev_per_atom": -4.21,
  "crystal_system": "tetragonal"
}